Below is an optimized crystal structure of SrCaDyVO6, with properties calculated at the PBE with a Hubbard U level.

abc: 5.7764 5.7764 5.7764
angles: 60.00 60.00 60.00
With the nearest neighbours (Å) after each atom.
Atoms (fractional coordinates):
Sr 0.0000 0.0000 0.0000  12 O 2.89
Ca 0.5000 0.5000 0.5000  12 O 2.89
Dy 0.2500 0.2500 0.2500  6 O 2.19
V 0.7500 0.7500 0.7500  6 O 1.89
O 0.5184 0.5184 0.9816  1 V 1.89
O 0.5184 0.9816 0.5184  1 V 1.89
O 0.5184 0.9816 0.9816  1 V 1.89
O 0.9816 0.5184 0.5184  1 V 1.89
O 0.9816 0.5184 0.9816  1 V 1.89
O 0.9816 0.9816 0.5184  1 V 1.89

As for the magnetization: 0.00 μB/f.u. Its total energy is -72.3 eV/cell.